[1]
This record from Alexandria describes a relaxed RbHfTe4 crystal. The functional is PBE-GGA.

The value obtained for the excess energy over the best structure of this formula in the dataset is 0.00 eV/f.u. The value obtained for the formation energy (no corrections) is -0.62 eV/atom. Its space group is No. 12.

Cell: 6.402 9.412 9.193 Å, 120.79 90.82 90.00°
Atoms (fractional coordinates):
Hf 0.263 0.513 0.027
Te 0.407 0.193 0.770
Te 0.721 0.304 0.609
Te 0.407 0.577 0.770
Te 0.000 0.752 0.000
Te 0.279 0.696 0.391
Rb 0.225 0.172 0.343
Rb 0.775 0.828 0.657
Te 0.593 0.807 0.230
Te 0.000 0.248 0.000
Te 0.593 0.423 0.230
Hf 0.737 0.487 0.973

***

[2]
This record from Alexandria describes a relaxed RbHfTe3 crystal. The functional is PBE-GGA.

The value obtained for the excess energy over the best structure of this formula in the dataset is 10.79 eV/f.u. The value obtained for the formation energy (no corrections) is 1.42 eV/atom. Its space group is No. 221.

Cell: 5.888 5.888 5.888 Å, 90.00 90.00 90.00°
Atoms (fractional coordinates):
Te 0.500 0.000 0.000
Te 0.000 0.500 0.000
Hf 0.500 0.500 0.500
Te 0.000 0.000 0.500
Rb 0.000 0.000 0.000

***

[3]
This record from Alexandria describes a relaxed Rb2HfTe8 crystal. The functional is PBE-GGA.

The value obtained for the formation energy (no corrections) is -0.45 eV/atom. Its space group is No. 12.

Cell: 7.224 8.007 11.441 Å, 69.52 52.85 90.00°
Atoms (fractional coordinates):
Rb 0.681 0.684 0.631
Te 0.158 0.449 0.103
Te 0.500 0.065 0.869
Te 0.500 0.935 0.131
Rb 0.319 0.316 0.369
Te 0.163 0.899 0.740
Hf 0.000 0.000 0.000
Te 0.842 0.551 0.897
Te 0.837 0.639 0.260
Te 0.837 0.101 0.260
Te 0.163 0.361 0.740

***

no.,DFT total energy (eV for the cell shown),Fermi-level density of states (states/eV/cell)
1,-54.43,4.79
2,-13.23,8.52
3,-41.93,6.22